! YHfNb4 (GGA-PBE, relaxed); values from VASP
&SYSTEM
  ibrav = 0, nat = 6, ntyp = 3
/
ATOMIC_SPECIES
Y 88.91 Y.upf
Nb 92.91 Nb.upf
Hf 178.49 Hf.upf
ATOMIC_POSITIONS angstrom
Y 2.8154 1.6255 1.1494
Nb 5.6308 3.2510 0.5731
Nb 5.6308 1.6240 2.8740
Nb 7.0398 4.0644 2.8740
Nb 4.2219 4.0644 2.8740
Hf 0.0000 0.0000 0.0000
CELL_PARAMETERS angstrom
5.6308 0.0000 0.0000
2.8154 4.8764 0.0000
2.8154 1.6255 4.5975
! - D(E_F): 12.2 states/eV/cell
! - ΔH_f (0 K): 0.8 eV per formula unit
! - Raw total energy: -55.8 eV for the cell shown
! - Symmetry: F-43m (216)